A plane-wave DFT calculation with GGA-PBE was carried out for a relaxed structure of BeRh2W.

Lattice parameters (Å, degrees): 3.9109 3.9109 3.5563 90.00 90.00 90.00
With the nearest neighbours (Å) after each atom.
Space group P4/mmm (No. 123)
Asymmetric unit:
Be1 0.0000 0.0000 0.0000 [1 per cell]  8 Rh 2.64, 4 W 2.77
Rh1 0.0000 0.5000 0.5000 [2 per cell]  4 W 2.64, 4 Be 2.64, 4 Rh 2.77
W1 0.5000 0.5000 0.0000 [1 per cell]  8 Rh 2.64, 4 Be 2.77

Summary:
- energy of formation from the pure elements (eV per formula unit) = -0.015
- final energy (Ha/atom) = -0.2885
- calculated volume (Å³/atom) = 13.60



A plane-wave DFT calculation with GGA-PBE was carried out for a relaxed structure of Be2RhW.

Lattice parameters (Å, degrees): 2.7733 2.7780 5.9652 90.00 90.13 90.00
With the nearest neighbours (Å) after each atom.
Space group P2/m (No. 10)
Asymmetric unit:
Be1 0.0007 0.0000 0.2138 [2 per cell]  4 Rh 2.34, 1 Be 2.55, 4 W 2.60
Rh1 0.5000 0.5000 0.0000 [1 per cell]  8 Be 2.34
W1 0.5000 0.5000 0.5000 [1 per cell]  8 Be 2.60, 4 W 2.77-2.78

Summary:
- excess energy over the best structure of this formula in the dataset (meV per atom) = 0
- energy of formation from the pure elements (eV per formula unit) = -1.002
- final energy (Ha/atom) = -0.2642
- calculated volume (Å³/atom) = 11.49



A plane-wave DFT calculation with GGA-PBE was carried out for a relaxed structure of BeRh2W.

Lattice parameters (Å, degrees): 9.4392 2.8372 4.3780 90.00 115.95 90.00
With the nearest neighbours (Å) after each atom.
Space group Cm (No. 8)
Asymmetric unit:
Be1 0.0000 0.0000 0.0000 [2 per cell]  4 Rh 2.26-2.40, 2 W 2.48
Rh1 0.0111 0.5000 0.5679 [2 per cell]  2 Be 2.40
Rh2 0.2966 0.0000 0.8799 [2 per cell]  2 Be 2.26
W1 0.2344 0.5000 0.3210 [2 per cell]  2 Be 2.48, 7 Rh 2.66-2.76

Summary:
- energy of formation from the pure elements (eV per formula unit) = -0.741
- final energy (Ha/atom) = -0.2951
- calculated volume (Å³/atom) = 13.18



A plane-wave DFT calculation with GGA-PBE was carried out for a relaxed structure of Be2RhW.

Lattice parameters (Å, degrees): 3.5266 3.5266 7.7151 90.00 90.00 90.00
With the nearest neighbours (Å) after each atom.
Space group I-4m2 (No. 119)
Asymmetric unit:
Be1 0.0000 0.0000 0.0000 [2 per cell]  4 W 2.49, 4 Be 2.61, 4 Rh 2.61
Be2 0.0000 0.5000 0.2500 [2 per cell]  4 Rh 2.49, 4 W 2.61, 4 Be 2.61
Rh1 0.0000 0.5000 0.7500 [2 per cell]  8 Be 2.49-2.61, 4 W 2.61
W1 0.0000 0.0000 0.5000 [2 per cell]  8 Be 2.49-2.61, 4 Rh 2.61

Summary:
- excess energy over the best structure of this formula in the dataset (meV per atom) = 225
- energy of formation from the pure elements (eV per formula unit) = -0.104
- final energy (Ha/atom) = -0.2560
- calculated volume (Å³/atom) = 11.99



A plane-wave DFT calculation with GGA-PBE was carried out for a relaxed structure of BeRh3W.

Lattice parameters (Å, degrees): 4.6771 4.6771 4.6771 90.00 90.00 90.00
With the nearest neighbours (Å) after each atom.
Space group Pm-3m (No. 221)
Asymmetric unit:
Be1 0.0000 0.0000 0.0000 [1 per cell]  12 Rh 3.31
Rh1 0.0000 0.5000 0.5000 [3 per cell]  2 W 2.34
W1 0.5000 0.5000 0.5000 [1 per cell]  6 Rh 2.34

Summary:
- excess energy over the best structure of this formula in the dataset (meV per atom) = 1187
- energy of formation from the pure elements (eV per formula unit) = 7.035
- final energy (Ha/atom) = -0.2330
- calculated volume (Å³/atom) = 20.46



A plane-wave DFT calculation with GGA-PBE was carried out for a relaxed structure of BeRh2W.

Lattice parameters (Å, degrees): 6.5569 6.5569 5.1011 90.00 90.00 90.00
With the nearest neighbours (Å) after each atom.
Space group I-42d (No. 122)
Asymmetric unit:
Be1 0.0000 0.0000 0.0000 [4 per cell]  4 Rh 2.13
Rh1 0.1836 0.7500 0.1250 [8 per cell]  2 Be 2.13
W1 0.0000 0.0000 0.5000 [4 per cell]  2 Be 2.55, 8 Rh 2.72-2.79

Summary:
- energy of formation from the pure elements (eV per formula unit) = 0.937
- final energy (Ha/atom) = -0.2797
- calculated volume (Å³/atom) = 13.71



A plane-wave DFT calculation with GGA-PBE was carried out for a relaxed structure of BeRh2W.

Lattice parameters (Å, degrees): 2.7543 3.8099 5.2129 90.00 90.00 90.00
With the nearest neighbours (Å) after each atom.
Space group Pmm2 (No. 25)
Asymmetric unit:
Be1 0.0000 0.0000 0.0000 [1 per cell]  6 Rh 2.51-2.67, 2 Be 2.75, 4 W 2.78
Rh1 0.0000 0.0000 0.4882 [1 per cell]  2 Be 2.55-2.67, 4 W 2.63, 2 Rh 2.75
Rh2 0.5000 0.5000 0.1713 [1 per cell]  1 W 2.38, 4 Be 2.51
W1 0.5000 0.5000 0.7151 [1 per cell]  5 Rh 2.38-2.63

Summary:
- energy of formation from the pure elements (eV per formula unit) = -0.635
- final energy (Ha/atom) = -0.2942
- calculated volume (Å³/atom) = 13.68



A plane-wave DFT calculation with GGA-PBE was carried out for a relaxed structure of BeRhW.

Lattice parameters (Å, degrees): 2.7626 2.7626 6.0718 90.00 90.00 120.00
With the nearest neighbours (Å) after each atom.
Space group P3m1 (No. 156)
Asymmetric unit:
Be1 0.0000 0.0000 0.0000 [1 per cell]  3 Rh 2.41, 3 W 2.60
Rh1 0.6667 0.3333 0.2982 [1 per cell]  3 Be 2.41
W1 0.3333 0.6667 0.6617 [1 per cell]  3 Be 2.60, 3 Rh 2.72, 6 W 2.76

Summary:
- excess energy over the best structure of this formula in the dataset (meV per atom) = 308
- energy of formation from the pure elements (eV per formula unit) = 0.159
- final energy (Ha/atom) = -0.2924
- calculated volume (Å³/atom) = 13.38